{
  "formula": "Ac3AsIrN",
  "functional": "GGA-PBE",
  "state": "optimized geometry",
  "lattice_angstrom": [[8.903, 0.000, 0.000], [0.000, 4.368, 0.000], [-1.796, 0.000, 9.687]],
  "species": ["Ac", "Ac", "Ac", "Ac", "Ac", "Ac", "As", "As", "Ir", "Ir", "N", "N"],
  "frac_coords": [[0.082, 0.250, 0.357], [0.326, 0.250, 0.989], [0.397, 0.750, 0.657], [0.603, 0.250, 0.343], [0.674, 0.750, 0.011], [0.918, 0.750, 0.643], [0.315, 0.750, 0.286], [0.685, 0.250, 0.714], [0.160, 0.250, 0.656], [0.840, 0.750, 0.344], [0.411, 0.750, 0.901], [0.589, 0.250, 0.099]],
  "raw_formation_energy_kj_per_mol_fu": -531.6,
  "spacegroup": "P2_1/m"
}

{
  "formula": "InGePt",
  "functional": "GGA-PBE",
  "state": "optimized geometry",
  "lattice_angstrom": [[3.574, 0.000, 0.000], [-1.787, 3.096, 0.000], [0.000, 0.000, 5.671]],
  "species": ["In", "Ge", "Pt"],
  "frac_coords": [[0.000, 0.000, 0.000], [0.667, 0.333, 0.591], [0.333, 0.667, 0.342]],
  "ef_mev_per_atom": -224.1,
  "spacegroup": "P3m1"
}

no.,total magnetic moment (μB/cell)
1,0.00
2,0.00